(1)
## TaW2C (GGA-PBE)

Data for a relaxed structure of TaW2C.

Output
ΔE_f = 1.159 eV per atom
Total energy = -10.587 eV/atom
ρ = 16.12 g/cm3
Crystal system = orthorhombic
Spin magnetization = 0.00 μB/cell

Unit cell a=4.3262 b=4.3262 c=3.1670 alpha=90.00 beta=90.00 gamma=102.99
Atoms (fractional coordinates):
Ta (0.0000, 0.0000, 0.0000)
W (0.0000, 0.5000, 0.5000)
W (0.5000, 0.0000, 0.5000)
C (0.5000, 0.5000, 0.0000)

***

(2)
## Ta2WC (GGA-PBE)

Data for a relaxed structure of Ta2WC.

Output
ΔE_f = 0.075 eV per atom
Total energy = -11.396 eV/atom
ρ = 15.71 g/cm3
Crystal system = monoclinic
Spin magnetization = 0.00 μB/cell

Unit cell a=4.6967 b=4.6967 c=5.0414 alpha=114.19 beta=114.19 gamma=35.98
Atoms (fractional coordinates):
Ta (0.0000, 0.0000, 0.0000)
Ta (0.1788, 0.1788, 0.6730)
W (0.8192, 0.8192, 0.3125)
C (0.4485, 0.4485, 0.6434)

***

(3)
## Ta2WC2 (GGA-PBE)

Data for a relaxed structure of Ta2WC2.

Output
ΔE_f = 0.689 eV per atom
Energy relative to the lowest polymorph listed for this composition = 0.00 eV per formula unit
Total energy = -10.332 eV/atom
ρ = 13.83 g/cm3
Crystal system = tetragonal
Spin magnetization = 0.00 μB/cell

Unit cell a=5.0929 b=5.0929 c=5.0929 alpha=133.45 beta=133.45 gamma=67.95
Atoms (fractional coordinates):
Ta (0.1685, 0.1685, 0.0000)
Ta (0.8315, 0.8315, 0.0000)
W (0.5000, 0.5000, 0.0000)
C (0.2500, 0.7500, 0.5000)
C (0.7500, 0.2500, 0.5000)

***

(4)
## Ta2WC (GGA-PBE)

Data for a relaxed structure of Ta2WC.

Output
ΔE_f = -0.180 eV per atom
Total energy = -11.650 eV/atom
ρ = 15.65 g/cm3
Crystal system = trigonal
Spin magnetization = 0.00 μB/cell

Unit cell a=7.4790 b=7.4790 c=7.4790 alpha=23.66 beta=23.66 gamma=23.66
Atoms (fractional coordinates):
Ta (0.0000, 0.0000, 0.0000)
Ta (0.2222, 0.2222, 0.2222)
W (0.4470, 0.4470, 0.4470)
C (0.7255, 0.7255, 0.7255)

***

(5)
## TaW2C (GGA-PBE)

Data for a relaxed structure of TaW2C.

Output
ΔE_f = 1.134 eV per atom
Total energy = -10.612 eV/atom
ρ = 15.71 g/cm3
Crystal system = monoclinic
Spin magnetization = 0.00 μB/cell

Unit cell a=5.2384 b=5.2384 c=3.0188 alpha=105.57 beta=105.57 gamma=121.27
Atoms (fractional coordinates):
Ta (0.0000, 0.0000, 0.0000)
W (0.0000, 0.5000, 0.5000)
W (0.5000, 0.0000, 0.5000)
C (0.5000, 0.5000, 0.0000)

***

(6)
## Ta2WC (GGA-PBE)

Data for a relaxed structure of Ta2WC.

Output
ΔE_f = -0.163 eV per atom
Total energy = -11.634 eV/atom
ρ = 15.51 g/cm3
Crystal system = orthorhombic
Spin magnetization = 0.00 μB/cell

Unit cell a=2.9622 b=4.9083 c=4.9083 alpha=56.79 beta=90.00 gamma=90.00
Atoms (fractional coordinates):
Ta (0.0000, 0.0000, 0.0000)
Ta (0.5000, 0.3279, 0.3279)
W (0.0000, 0.6554, 0.6554)
C (0.5000, 0.8245, 0.8245)

***

(7)
## Ta2WC (GGA-PBE)

Data for a relaxed structure of Ta2WC.

Output
ΔE_f = 0.235 eV per atom
Total energy = -11.236 eV/atom
ρ = 14.85 g/cm3
Crystal system = tetragonal
Spin magnetization = 0.00 μB/cell

Unit cell a=5.7358 b=5.7358 c=5.7358 alpha=98.73 beta=98.73 gamma=134.15
Atoms (fractional coordinates):
Ta (0.0049, 0.6250, 0.8799)
Ta (0.3750, 0.2549, 0.3799)
Ta (0.7451, 0.1250, 0.1201)
Ta (0.8750, 0.9951, 0.6201)
W (0.2500, 0.7500, 0.5000)
W (0.5000, 0.5000, 0.0000)
C (0.0000, 0.0000, 0.0000)
C (0.7500, 0.2500, 0.5000)

***

(8)
## TaW2C (GGA-PBE)

Data for a relaxed structure of TaW2C.

Output
ΔE_f = 0.996 eV per atom
Total energy = -10.750 eV/atom
ρ = 15.81 g/cm3
Crystal system = tetragonal
Spin magnetization = 0.00 μB/cell

Unit cell a=5.3916 b=5.3916 c=5.3916 alpha=142.04 beta=142.04 gamma=54.78
Atoms (fractional coordinates):
Ta (0.0000, 0.0000, 0.0000)
W (0.2500, 0.7500, 0.5000)
W (0.7500, 0.2500, 0.5000)
C (0.5000, 0.5000, 0.0000)

***

(9)
## Ta2WC (GGA-PBE)

Data for a relaxed structure of Ta2WC.

Output
ΔE_f = 1.073 eV per atom
Total energy = -10.398 eV/atom
ρ = 15.40 g/cm3
Crystal system = tetragonal
Spin magnetization = 0.00 μB/cell

Unit cell a=4.6816 b=4.6816 c=4.6816 alpha=129.14 beta=129.14 gamma=74.78
Atoms (fractional coordinates):
Ta (0.2500, 0.7500, 0.5000)
Ta (0.7500, 0.2500, 0.5000)
W (0.0000, 0.0000, 0.0000)
C (0.5000, 0.5000, 0.0000)

***

(10)
## Ta2WC (GGA-PBE)

Data for a relaxed structure of Ta2WC.

Output
ΔE_f = 0.169 eV per atom
Total energy = -11.302 eV/atom
ρ = 15.88 g/cm3
Crystal system = orthorhombic
Spin magnetization = 0.00 μB/cell

Unit cell a=2.8631 b=2.8631 c=7.6948 alpha=90.00 beta=90.00 gamma=112.40
Atoms (fractional coordinates):
Ta (0.0000, 0.0000, 0.0000)
Ta (0.5000, 0.5000, 0.3109)
W (0.0000, 0.0000, 0.6131)
C (0.5000, 0.5000, 0.8035)

***

(11)
## Ta4WC5 (GGA-PBE)

Data for a relaxed structure of Ta4WC5.

Output
ΔE_f = -0.415 eV per atom
Total energy = -11.064 eV/atom
ρ = 14.48 g/cm3
Crystal system = trigonal
Spin magnetization = 0.00 μB/cell

Unit cell a=13.0197 b=13.0197 c=13.0197 alpha=13.91 beta=13.91 gamma=13.91
Atoms (fractional coordinates):
Ta (0.1007, 0.1007, 0.1007)
Ta (0.2997, 0.2997, 0.2997)
Ta (0.7003, 0.7003, 0.7003)
Ta (0.8993, 0.8993, 0.8993)
W (0.5000, 0.5000, 0.5000)
C (0.0000, 0.0000, 0.0000)
C (0.1991, 0.1991, 0.1991)
C (0.4007, 0.4007, 0.4007)
C (0.5993, 0.5993, 0.5993)
C (0.8009, 0.8009, 0.8009)

***

(12)
## Ta2WC (GGA-PBE)

Data for a relaxed structure of Ta2WC.

Output
ΔE_f = 0.034 eV per atom
Total energy = -11.436 eV/atom
ρ = 16.03 g/cm3
Crystal system = orthorhombic
Spin magnetization = 0.00 μB/cell

Unit cell a=2.8445 b=2.8445 c=7.6263 alpha=90.00 beta=90.00 gamma=110.60
Atoms (fractional coordinates):
Ta (0.0000, 0.0000, 0.1975)
Ta (0.0000, 0.0000, 0.8025)
W (0.5000, 0.5000, 0.5000)
C (0.5000, 0.5000, 0.0000)

***

Look up the ΔE_f of the eighth one.
0.996 eV per atom